! PBE CaNiSe, relaxed; values from VASP
&SYSTEM
  ibrav = 0, nat = 6, ntyp = 3
/
ATOMIC_SPECIES
Ca 40.08 Ca.upf
Ni 58.69 Ni.upf
Se 78.96 Se.upf
ATOMIC_POSITIONS crystal
Ca 0.000 0.000 0.000
Ca 0.473 0.053 0.420
Ni 0.582 0.832 0.758
Ni 0.884 0.228 0.663
Se 0.233 0.530 0.709
Se 0.737 0.526 0.210
CELL_PARAMETERS angstrom
4.180 0.000 0.000
2.089 3.621 0.000
0.003 2.407 8.198
! **Size of the total moment**: 0.00 μB/atom
! **Raw total energy**: -27.9 eV/cell
! **Formation energy without anion corrections**: -0.9000 eV/atom

***

! PBE CaNiSe2, relaxed; values from VASP
&SYSTEM
  ibrav = 0, nat = 8, ntyp = 3
/
ATOMIC_SPECIES
Ca 40.08 Ca.upf
Ni 58.69 Ni.upf
Se 78.96 Se.upf
ATOMIC_POSITIONS crystal
Ca 0.000 0.000 0.000
Ca 0.244 0.244 0.403
Ni 0.243 0.243 0.773
Ni 0.715 0.715 0.068
Se 0.325 0.325 0.071
Se 0.587 0.587 0.265
Se 0.624 0.624 0.786
Se 0.847 0.847 0.670
CELL_PARAMETERS angstrom
6.266 -1.879 0.000
6.266 1.879 0.000
-1.035 0.000 7.993
! **Size of the total moment**: 0.00 μB/atom
! **Raw total energy**: -37.0 eV/cell
! **Formation energy without anion corrections**: -0.9334 eV/atom

***

! PBE CaNiSe, relaxed; values from VASP
&SYSTEM
  ibrav = 0, nat = 6, ntyp = 3
/
ATOMIC_SPECIES
Ca 40.08 Ca.upf
Ni 58.69 Ni.upf
Se 78.96 Se.upf
ATOMIC_POSITIONS crystal
Ca 0.000 0.000 0.000
Ca 0.318 0.581 0.513
Ni 0.352 0.358 0.905
Ni 0.723 0.630 0.879
Se 0.600 0.000 0.660
Se 0.930 0.508 0.197
CELL_PARAMETERS angstrom
4.303 0.000 0.000
2.002 4.906 0.000
1.162 -0.139 6.432
! **Size of the total moment**: 0.00 μB/atom
! **Raw total energy**: -27.6 eV/cell
! **Formation energy without anion corrections**: -0.8473 eV/atom

***

! PBE CaNiSe2, relaxed; values from VASP
&SYSTEM
  ibrav = 0, nat = 4, ntyp = 3
/
ATOMIC_SPECIES
Ca 40.08 Ca.upf
Ni 58.69 Ni.upf
Se 78.96 Se.upf
ATOMIC_POSITIONS crystal
Ca 0.000 0.000 0.000
Ni 0.000 0.500 0.500
Se 0.500 0.500 0.256
Se 0.500 0.500 0.744
CELL_PARAMETERS angstrom
3.513 0.000 0.000
0.000 3.993 0.000
0.000 0.000 6.410
! **Size of the total moment**: 0.00 μB/atom
! **Raw total energy**: -18.3 eV/cell
! **Formation energy without anion corrections**: -0.8801 eV/atom

***

! PBE CaNiSe, relaxed; values from VASP
&SYSTEM
  ibrav = 0, nat = 6, ntyp = 3
/
ATOMIC_SPECIES
Ca 40.08 Ca.upf
Ni 58.69 Ni.upf
Se 78.96 Se.upf
ATOMIC_POSITIONS crystal
Ca 0.000 0.000 0.000
Ca 0.000 0.000 0.500
Ni 0.333 0.667 0.250
Ni 0.667 0.333 0.750
Se 0.333 0.667 0.750
Se 0.667 0.333 0.250
CELL_PARAMETERS angstrom
4.074 0.000 0.000
-2.037 3.528 0.000
0.000 0.000 8.027
! **Size of the total moment**: 0.00 μB/atom
! **Raw total energy**: -28.3 eV/cell
! **Formation energy without anion corrections**: -0.9683 eV/atom

***

! PBE CaNiSe2, relaxed; values from VASP
&SYSTEM
  ibrav = 0, nat = 4, ntyp = 3
/
ATOMIC_SPECIES
Ca 40.08 Ca.upf
Ni 58.69 Ni.upf
Se 78.96 Se.upf
ATOMIC_POSITIONS crystal
Ca 0.000 0.000 0.000
Ni 0.290 0.290 0.225
Se 0.476 0.476 0.489
Se 0.728 0.728 0.991
CELL_PARAMETERS angstrom
5.790 -1.938 0.000
5.790 1.938 0.000
-0.679 0.000 4.360
! **Size of the total moment**: 0.16 μB/atom
! **Raw total energy**: -18.1 eV/cell
! **Formation energy without anion corrections**: -0.8431 eV/atom